[1]
Below is RbNa3Th2Te6 after structural relaxation, with properties calculated at the PBE level.

Geometry as extended XYZ:
```
12
Lattice="9.993 -2.311 0.000 9.993 2.311 0.000 -1.911 0.000 9.505" Properties=species:S:1:pos:R:3 pbc="T T T"
Rb 0.000 0.000 0.000
Na -0.956 0.000 4.752
Na 6.552 0.000 1.645
Na 11.523 0.000 7.859
Th 5.471 0.000 6.340
Th 12.604 0.000 3.165
Te 2.362 0.000 5.387
Te 3.399 0.000 1.159
Te 8.428 0.000 6.847
Te 9.647 0.000 2.658
Te 14.677 0.000 8.345
Te 15.713 0.000 4.117
```

Computed properties:
total magnetic moment	0.000	μB per atom
calculated volume	36.59	A^3/atom
electronic total energy	-4.3301	eV/atom

---

[2]
Below is RbNaTh2Te5 after structural relaxation, with properties calculated at the PBE level.

Geometry as extended XYZ:
```
18
Lattice="-4.380 4.380 8.682 4.380 -4.380 8.682 4.380 4.380 -8.682" Properties=species:S:1:pos:R:3 pbc="T T T"
Rb 0.000 0.000 4.341
Rb 0.000 0.000 13.023
Na 4.380 0.000 4.341
Na 0.000 4.380 4.341
Th 5.767 1.386 0.000
Th 1.386 2.994 0.000
Th 2.994 1.386 8.682
Th -1.386 2.994 8.682
Te 0.000 0.000 0.000
Te 3.087 1.293 -1.998
Te 3.087 -1.293 6.684
Te 3.087 1.293 1.998
Te 3.087 -1.293 10.680
Te 0.000 0.000 8.682
Te 1.293 5.673 -1.998
Te 1.293 3.087 6.684
Te 1.293 5.673 1.998
Te 1.293 3.087 10.680
```

Computed properties:
N(E_F)	0.142	states/eV per atom
total magnetic moment	0.000	μB per atom
calculated volume	37.01	A^3/atom
electronic total energy	-4.7983	eV/atom

---

[3]
Below is Rb3NaTh3Te8 after structural relaxation, with properties calculated at the PBE level.

Geometry as extended XYZ:
```
15
Lattice="4.629 2.673 8.592 -4.629 2.673 8.592 0.000 -5.345 8.592" Properties=species:S:1:pos:R:3 pbc="T T T"
Rb -2.315 -1.336 8.592
Rb -2.315 1.336 17.184
Rb 0.000 2.673 8.592
Na 0.000 0.000 12.888
Th -4.629 0.000 12.888
Th -2.315 1.336 4.296
Th 2.315 1.336 4.296
Te -2.447 -1.413 14.612
Te 0.000 0.000 6.078
Te 0.000 -2.825 11.165
Te -2.447 1.413 11.165
Te 2.447 -1.413 14.612
Te 0.000 2.825 14.612
Te 0.000 0.000 19.698
Te 2.447 1.413 11.165
```

Computed properties:
total magnetic moment	0.000	μB per atom
calculated volume	42.52	A^3/atom
electronic total energy	-4.6219	eV/atom

---

[4]
Below is Rb2Na2ThTe4 after structural relaxation, with properties calculated at the PBE level.

Geometry as extended XYZ:
```
9
Lattice="8.879 -2.390 0.000 8.879 2.390 0.000 -3.278 0.000 8.253" Properties=species:S:1:pos:R:3 pbc="T T T"
Rb 2.262 0.000 0.482
Rb 12.219 0.000 7.771
Na 3.958 0.000 4.322
Na 10.523 0.000 3.931
Th -1.639 0.000 4.126
Te 1.124 0.000 5.694
Te 6.383 0.000 6.088
Te 8.097 0.000 2.165
Te 13.357 0.000 2.559
```

Computed properties:
N(E_F)	0.000	states/eV per atom
total magnetic moment	0.000	μB per atom
calculated volume	38.91	A^3/atom
electronic total energy	-3.8252	eV/atom

---

[5]
Below is Rb3NaTh2Te6 after structural relaxation, with properties calculated at the PBE level.

Geometry as extended XYZ:
```
12
Lattice="10.916 -2.336 0.000 10.916 2.336 0.000 -3.202 0.000 9.627" Properties=species:S:1:pos:R:3 pbc="T T T"
Rb 0.000 0.000 0.000
Rb 5.342 0.000 6.440
Rb 13.289 0.000 3.186
Na -1.601 0.000 4.813
Th 6.825 0.000 1.694
Th 11.806 0.000 7.933
Te 1.697 0.000 5.995
Te 3.753 0.000 0.504
Te 9.704 0.000 2.502
Te 8.926 0.000 7.125
Te 14.877 0.000 9.123
Te 16.933 0.000 3.632
```

Computed properties:
total magnetic moment	0.000	μB per atom
calculated volume	40.92	A^3/atom
electronic total energy	-4.3488	eV/atom

---

[6]
Below is RbNa2Tl2Te2 after structural relaxation, with properties calculated at the PBE level.

Geometry as extended XYZ:
```
7
Lattice="2.623 1.515 11.386 -2.623 1.515 11.386 0.000 -3.029 11.386" Properties=species:S:1:pos:R:3 pbc="T T T"
Rb 0.000 0.000 0.000
Na 0.000 0.000 14.369
Na 0.000 0.000 19.788
Tl 0.000 0.000 6.091
Tl 0.000 0.000 28.067
Te 0.000 0.000 9.107
Te 0.000 0.000 25.050
```

Computed properties:
N(E_F)	0.042	states/eV per atom
total magnetic moment	0.000	μB per atom
calculated volume	38.78	A^3/atom
electronic total energy	-2.7073	eV/atom

---

[7]
Below is Rb2NaUTe4 after structural relaxation, with properties calculated at the PBE level.

Geometry as extended XYZ:
```
8
Lattice="8.086 0.000 0.000 0.000 4.633 0.000 -2.624 0.000 8.390" Properties=species:S:1:pos:R:3 pbc="T T T"
Rb 0.000 0.000 0.000
Rb 4.043 2.316 0.000
Na -1.312 2.316 4.195
U 2.731 0.000 4.195
Te 0.304 0.000 5.841
Te 1.538 2.316 2.565
Te 3.924 2.316 5.825
Te 5.158 0.000 2.549
```

Computed properties:
N(E_F)	0.640	states/eV per atom
total magnetic moment	0.123	μB per atom
calculated volume	39.29	A^3/atom
electronic total energy	-4.2494	eV/atom

---

[8]
Below is RbNaU2Te4 after structural relaxation, with properties calculated at the PBE level.

Geometry as extended XYZ:
```
16
Lattice="2.317 -7.546 0.000 2.317 7.546 0.000 0.000 0.000 16.447" Properties=species:S:1:pos:R:3 pbc="T T T"
Rb 2.317 5.743 12.335
Rb 2.317 -5.743 4.112
Na 2.317 4.993 4.112
Na 2.317 -4.993 12.335
U 2.317 1.925 9.256
U 2.317 1.925 15.414
U 2.317 -1.925 1.033
U 2.317 -1.925 7.190
Te 0.000 0.000 0.000
Te 0.000 0.000 8.223
Te 2.317 3.523 1.623
Te 2.317 3.523 6.600
Te 2.317 0.871 12.335
Te 2.317 -0.871 4.112
Te 2.317 -3.523 9.847
Te 2.317 -3.523 14.824
```

Computed properties:
N(E_F)	1.786	states/eV per atom
total magnetic moment	0.751	μB per atom
calculated volume	35.95	A^3/atom
electronic total energy	-5.3717	eV/atom

---

[9]
Below is RbNaUTe3 after structural relaxation, with properties calculated at the PBE level.

Geometry as extended XYZ:
```
12
Lattice="9.860 0.000 0.000 0.000 4.647 0.000 -3.213 0.000 10.308" Properties=species:S:1:pos:R:3 pbc="T T T"
Rb 1.377 1.162 2.692
Rb 5.270 3.486 7.616
Na -1.212 1.162 6.192
Na 7.858 3.486 4.115
U 0.445 3.486 8.780
U 6.202 1.162 1.528
Te -1.578 1.162 9.156
Te 0.667 3.486 5.768
Te 4.124 3.486 1.538
Te 2.523 1.162 8.770
Te 5.979 1.162 4.540
Te 8.225 3.486 1.152
```

Computed properties:
N(E_F)	1.065	states/eV per atom
total magnetic moment	0.333	μB per atom
calculated volume	39.36	A^3/atom
electronic total energy	-4.6549	eV/atom

---

[10]
Below is Rb3NaU3Te8 after structural relaxation, with properties calculated at the PBE level.

Geometry as extended XYZ:
```
15
Lattice="7.838 -4.526 0.000 7.838 4.526 0.000 -5.226 0.000 8.577" Properties=species:S:1:pos:R:3 pbc="T T T"
Rb 0.000 0.000 0.000
Rb 3.919 2.263 0.000
Rb 3.919 -2.263 0.000
Na -2.613 0.000 4.289
U 1.306 2.263 4.289
U 1.306 -2.263 4.289
U 5.225 0.000 4.289
Te 0.179 0.000 5.985
Te 3.833 2.108 5.989
Te 2.603 0.000 2.568
Te 6.617 2.108 2.588
Te 3.833 -2.108 5.989
Te 7.847 0.000 6.009
Te 6.617 -2.108 2.588
Te 10.271 0.000 2.592
```

Computed properties:
N(E_F)	1.026	states/eV per atom
total magnetic moment	0.400	μB per atom
calculated volume	40.57	A^3/atom
electronic total energy	-5.0532	eV/atom